1.
First-principles (PBE) data for crystalline BaCu2B2 at its relaxed geometry, as listed in the Alexandria database.

Summary:
- Formation energy: 0.75 eV/atom
- M_tot: 0.000 Bohr magnetons per cell
- Calculated total energy: -3.95 eV per atom

```
data_BaCu2B2
_space_group_name_H-M_alt 'P 4/m b m'
_space_group_IT_number 127
_space_group_name_Hall '-P 4 2ab'
_cell_length_a 7.181
_cell_length_b 7.181
_cell_length_c 3.541
_cell_angle_alpha 90.00
_cell_angle_beta 90.00
_cell_angle_gamma 90.00
loop_
_atom_site_label
_atom_site_type_symbol
_atom_site_fract_x
_atom_site_fract_y
_atom_site_fract_z
Ba1 Ba 0.000 0.000 0.000
Cu1 Cu 0.113 0.387 0.500
B1 B 0.079 0.579 0.000
```

***

2.
First-principles (PBE) data for crystalline BaGdCuBO5 at its relaxed geometry, as listed in the Alexandria database.

Summary:
- M_tot: 13.680 Bohr magnetons per cell
- Calculated total energy: -8.19 eV per atom
- E_form (uncorrected): -2458.5 meV/atom

```
data_BaGdCuBO5
_space_group_name_H-M_alt 'P 4 b m'
_space_group_IT_number 100
_cell_length_a 5.506
_cell_length_b 5.506
_cell_length_c 7.608
_cell_angle_alpha 90.00
_cell_angle_beta 90.00
_cell_angle_gamma 90.00
loop_
_space_group_symop_operation_xyz
'x,y,z'
'-y,x,z'
'-x,-y,z'
'y,-x,z'
'-x+1/2,y+1/2,z'
'y+1/2,x+1/2,z'
'x+1/2,-y+1/2,z'
'-y+1/2,-x+1/2,z'
loop_
_atom_site_label
_atom_site_type_symbol
_atom_site_fract_x
_atom_site_fract_y
_atom_site_fract_z
Ba1 Ba 0.000 0.000 0.000
Gd1 Gd 0.000 0.000 0.509
Cu1 Cu 0.000 0.500 0.723
B1 B 0.000 0.500 0.254
O1 O 0.000 0.500 0.071
O2 O 0.157 0.343 0.342
O3 O 0.248 0.748 0.709
```

***

3.
First-principles (PBE) data for crystalline Ba4La4Cu4B3O18 at its relaxed geometry, as listed in the Alexandria database.

Summary:
- M_tot: 0.000 Bohr magnetons per cell
- Calculated total energy: -7.05 eV per atom
- E_form (uncorrected): -2409.2 meV/atom

```
data_Ba4La4Cu4B3O18
_space_group_name_H-M_alt 'P m m 2'
_space_group_IT_number 25
_cell_length_a 7.745
_cell_length_b 8.152
_cell_length_c 7.759
_cell_angle_alpha 90.00
_cell_angle_beta 90.00
_cell_angle_gamma 90.00
loop_
_space_group_symop_operation_xyz
'x,y,z'
'-x,-y,z'
'-x,y,z'
'x,-y,z'
loop_
_atom_site_label
_atom_site_type_symbol
_atom_site_fract_x
_atom_site_fract_y
_atom_site_fract_z
Ba1 Ba 0.243 0.246 0.000
La1 La 0.252 0.266 0.481
Cu1 Cu 0.000 0.000 0.257
Cu2 Cu 0.000 0.500 0.264
Cu3 Cu 0.500 0.000 0.298
Cu4 Cu 0.500 0.500 0.252
B1 B 0.000 0.500 0.755
B2 B 0.500 0.000 0.759
B3 B 0.500 0.500 0.760
O1 O 0.000 0.000 0.983
O2 O 0.000 0.255 0.280
O3 O 0.000 0.348 0.669
O4 O 0.000 0.500 0.934
O5 O 0.249 0.500 0.284
O6 O 0.250 0.000 0.352
O7 O 0.344 0.500 0.671
O8 O 0.500 0.000 0.939
O9 O 0.500 0.150 0.674
O10 O 0.500 0.252 0.278
O11 O 0.500 0.500 0.939
```

***

4.
First-principles (PBE) data for crystalline BaNdCuBO5 at its relaxed geometry, as listed in the Alexandria database.

Summary:
- M_tot: 0.267 Bohr magnetons per cell
- Calculated total energy: -7.14 eV per atom
- E_form (uncorrected): -2449.3 meV/atom

```
data_BaNdCuBO5
_space_group_name_H-M_alt 'P 4 b m'
_space_group_IT_number 100
_cell_length_a 5.556
_cell_length_b 5.556
_cell_length_c 7.658
_cell_angle_alpha 90.00
_cell_angle_beta 90.00
_cell_angle_gamma 90.00
loop_
_space_group_symop_operation_xyz
'x,y,z'
'-y,x,z'
'-x,-y,z'
'y,-x,z'
'-x+1/2,y+1/2,z'
'y+1/2,x+1/2,z'
'x+1/2,-y+1/2,z'
'-y+1/2,-x+1/2,z'
loop_
_atom_site_label
_atom_site_type_symbol
_atom_site_fract_x
_atom_site_fract_y
_atom_site_fract_z
Ba1 Ba 0.000 0.000 0.000
Nd1 Nd 0.000 0.000 0.492
Cu1 Cu 0.000 0.500 0.270
B1 B 0.000 0.500 0.751
O1 O 0.000 0.500 0.934
O2 O 0.155 0.345 0.664
O3 O 0.248 0.748 0.287
```

***

5.
First-principles (PBE) data for crystalline Ba2CuB2O6 at its relaxed geometry, as listed in the Alexandria database.

Summary:
- M_tot: 0.419 Bohr magnetons per cell
- Energy relative to the lowest polymorph listed for this composition: 0.0149 eV per atom
- Calculated total energy: -6.99 eV per atom
- E_form (uncorrected): -2346.8 meV/atom

```
data_Ba2CuB2O6
_space_group_name_H-M_alt 'C 1 2/m 1'
_space_group_IT_number 12
_cell_length_a 11.089
_cell_length_b 5.062
_cell_length_c 6.312
_cell_angle_alpha 90.00
_cell_angle_beta 117.08
_cell_angle_gamma 90.00
loop_
_space_group_symop_operation_xyz
'x,y,z'
'-x,-y,-z'
'-x,y,-z'
'x,-y,z'
'x+1/2,y+1/2,z'
'-x+1/2,-y+1/2,-z'
'-x+1/2,y+1/2,-z'
'x+1/2,-y+1/2,z'
loop_
_atom_site_label
_atom_site_type_symbol
_atom_site_fract_x
_atom_site_fract_y
_atom_site_fract_z
Ba1 Ba 0.195 0.000 0.201
Cu1 Cu 0.000 0.000 0.500
B1 B 0.011 0.500 0.275
O1 O 0.064 0.266 0.758
O2 O 0.145 0.500 0.329
```

***

6.
First-principles (PBE) data for crystalline Ba2CuBO at its relaxed geometry, as listed in the Alexandria database.

Summary:
- M_tot: 0.000 Bohr magnetons per cell
- Calculated total energy: -3.76 eV per atom
- E_form (uncorrected): 153.4 meV/atom

```
data_Ba2CuBO
_space_group_name_H-M_alt 'P 4/m m m'
_space_group_IT_number 123
_space_group_name_Hall '-P 4 2'
_cell_length_a 5.853
_cell_length_b 5.853
_cell_length_c 3.434
_cell_angle_alpha 90.00
_cell_angle_beta 90.00
_cell_angle_gamma 90.00
loop_
_atom_site_label
_atom_site_type_symbol
_atom_site_fract_x
_atom_site_fract_y
_atom_site_fract_z
Ba1 Ba 0.000 0.500 0.000
Cu1 Cu 0.000 0.000 0.500
B1 B 0.500 0.500 0.000
O1 O 0.500 0.500 0.500
```

***

7.
First-principles (PBE) data for crystalline Ba2CuBO4 at its relaxed geometry, as listed in the Alexandria database.

Summary:
- M_tot: 0.000 Bohr magnetons per cell
- Calculated total energy: -6.25 eV per atom
- E_form (uncorrected): -1941.8 meV/atom

```
data_Ba2CuBO4
_space_group_name_H-M_alt 'F d d d'
_space_group_IT_number 70
_cell_length_a 4.903
_cell_length_b 10.266
_cell_length_c 19.741
_cell_angle_alpha 90.00
_cell_angle_beta 90.00
_cell_angle_gamma 90.00
loop_
_space_group_symop_operation_xyz
'x,y,z'
'-x,-y,-z'
'-x+1/4,-y+1/4,z'
'x+1/4,y+1/4,-z'
'x,-y+1/4,-z+1/4'
'-x,y+1/4,z+1/4'
'-x+1/4,y,-z+1/4'
'x+1/4,-y,z+1/4'
'x,y+1/2,z+1/2'
'-x,-y+1/2,-z+1/2'
'-x+1/4,-y+3/4,z+1/2'
'x+1/4,y+3/4,-z+1/2'
'x,-y+3/4,-z+3/4'
'-x,y+3/4,z+3/4'
'-x+1/4,y+1/2,-z+3/4'
'x+1/4,-y+1/2,z+3/4'
'x+1/2,y,z+1/2'
'-x+1/2,-y,-z+1/2'
'-x+3/4,-y+1/4,z+1/2'
'x+3/4,y+1/4,-z+1/2'
'x+1/2,-y+1/4,-z+3/4'
'-x+1/2,y+1/4,z+3/4'
'-x+3/4,y,-z+3/4'
'x+3/4,-y,z+3/4'
'x+1/2,y+1/2,z'
'-x+1/2,-y+1/2,-z'
'-x+3/4,-y+3/4,z'
'x+3/4,y+3/4,-z'
'x+1/2,-y+3/4,-z+1/4'
'-x+1/2,y+3/4,z+1/4'
'-x+3/4,y+1/2,-z+1/4'
'x+3/4,-y+1/2,z+1/4'
loop_
_atom_site_label
_atom_site_type_symbol
_atom_site_fract_x
_atom_site_fract_y
_atom_site_fract_z
Ba1 Ba 0.125 0.125 0.304
Cu1 Cu 0.125 0.125 0.125
B1 B 0.125 0.125 0.625
O1 O 0.053 0.287 0.832
```

***

8.
First-principles (PBE) data for crystalline Ba3CuB2O6 at its relaxed geometry, as listed in the Alexandria database.

Summary:
- M_tot: 0.001 Bohr magnetons per cell
- Calculated total energy: -6.60 eV per atom
- E_form (uncorrected): -2185.9 meV/atom

```
data_Ba3CuB2O6
_space_group_name_H-M_alt 'P -3 m 1'
_space_group_IT_number 164
_space_group_name_Hall '-P 3 2"'
_cell_length_a 5.5461
_cell_length_b 5.5461
_cell_length_c 7.5107
_cell_angle_alpha 90.00
_cell_angle_beta 90.00
_cell_angle_gamma 120.00
loop_
_atom_site_label
_atom_site_type_symbol
_atom_site_fract_x
_atom_site_fract_y
_atom_site_fract_z
Ba1 Ba 0.0000 0.0000 0.0000
Ba2 Ba 0.3333 0.6667 0.6754
Cu1 Cu 0.0000 0.0000 0.5000
B1 B 0.3333 0.6667 0.2744
O1 O 0.1876 0.3751 0.2848
```

***

9.
First-principles (PBE) data for crystalline Ba2CuB2O6 at its relaxed geometry, as listed in the Alexandria database.

Summary:
- M_tot: 8.018 Bohr magnetons per cell
- Energy relative to the lowest polymorph listed for this composition: 0.0000 eV per atom
- Calculated total energy: -7.00 eV per atom
- E_form (uncorrected): -2361.7 meV/atom

```
data_Ba2CuB2O6
_space_group_name_H-M_alt 'P n m a'
_space_group_IT_number 62
_cell_length_a 8.361
_cell_length_b 11.223
_cell_length_c 14.188
_cell_angle_alpha 90.00
_cell_angle_beta 90.00
_cell_angle_gamma 90.00
loop_
_space_group_symop_operation_xyz
'x,y,z'
'-x,-y,-z'
'-x+1/2,-y,z+1/2'
'x+1/2,y,-z+1/2'
'x+1/2,-y+1/2,-z+1/2'
'-x+1/2,y+1/2,z+1/2'
'-x,y+1/2,-z'
'x,-y+1/2,z'
loop_
_atom_site_label
_atom_site_type_symbol
_atom_site_fract_x
_atom_site_fract_y
_atom_site_fract_z
Ba1 Ba 0.000 0.000 0.000
Ba2 Ba 0.116 0.250 0.455
Ba3 Ba 0.157 0.518 0.718
Cu1 Cu 0.050 0.750 0.302
Cu2 Cu 0.203 0.250 0.075
B1 B 0.024 0.250 0.207
B2 B 0.078 0.750 0.133
B3 B 0.141 0.570 0.436
O1 O 0.010 0.628 0.395
O2 O 0.061 0.750 0.711
O3 O 0.072 0.145 0.162
O4 O 0.072 0.645 0.189
O5 O 0.089 0.750 0.038
O6 O 0.196 0.607 0.525
O7 O 0.212 0.027 0.393
```

***

10.
First-principles (PBE) data for crystalline BaSmCuBO5 at its relaxed geometry, as listed in the Alexandria database.

Summary:
- M_tot: 0.279 Bohr magnetons per cell
- Calculated total energy: -7.15 eV per atom
- E_form (uncorrected): -2463.6 meV/atom

```
data_BaSmCuBO5
_space_group_name_H-M_alt 'P 4 b m'
_space_group_IT_number 100
_cell_length_a 5.524
_cell_length_b 5.524
_cell_length_c 7.629
_cell_angle_alpha 90.00
_cell_angle_beta 90.00
_cell_angle_gamma 90.00
loop_
_space_group_symop_operation_xyz
'x,y,z'
'-y,x,z'
'-x,-y,z'
'y,-x,z'
'-x+1/2,y+1/2,z'
'y+1/2,x+1/2,z'
'x+1/2,-y+1/2,z'
'-y+1/2,-x+1/2,z'
loop_
_atom_site_label
_atom_site_type_symbol
_atom_site_fract_x
_atom_site_fract_y
_atom_site_fract_z
Ba1 Ba 0.000 0.000 0.000
Sm1 Sm 0.000 0.000 0.509
Cu1 Cu 0.000 0.500 0.726
B1 B 0.000 0.500 0.252
O1 O 0.000 0.500 0.069
O2 O 0.156 0.344 0.340
O3 O 0.248 0.748 0.711
```

***

11.
First-principles (PBE) data for crystalline BaSr3Cu8B8O24 at its relaxed geometry, as listed in the Alexandria database.

Summary:
- M_tot: 7.984 Bohr magnetons per cell
- Calculated total energy: -6.72 eV per atom
- E_form (uncorrected): -1894.8 meV/atom

```
data_BaSr3Cu8B8O24
_space_group_name_H-M_alt 'P 2 2 2'
_space_group_IT_number 16
_cell_length_a 6.978
_cell_length_b 9.122
_cell_length_c 9.128
_cell_angle_alpha 90.00
_cell_angle_beta 90.00
_cell_angle_gamma 90.00
loop_
_space_group_symop_operation_xyz
'x,y,z'
'-x,-y,z'
'x,-y,-z'
'-x,y,-z'
loop_
_atom_site_label
_atom_site_type_symbol
_atom_site_fract_x
_atom_site_fract_y
_atom_site_fract_z
Ba1 Ba 0.000 0.000 0.000
Sr1 Sr 0.000 0.500 0.500
Sr2 Sr 0.500 0.000 0.000
Sr3 Sr 0.500 0.500 0.500
Cu1 Cu 0.251 0.387 0.885
Cu2 Cu 0.265 0.115 0.387
B1 B 0.255 0.297 0.205
B2 B 0.260 0.206 0.703
O1 O 0.246 0.402 0.098
O2 O 0.251 0.355 0.670
O3 O 0.254 0.330 0.355
O4 O 0.262 0.175 0.852
O5 O 0.265 0.148 0.175
O6 O 0.268 0.099 0.598
```

***

12.
First-principles (PBE) data for crystalline Ba3CuB2S6 at its relaxed geometry, as listed in the Alexandria database.

Summary:
- M_tot: 0.000 Bohr magnetons per cell
- Calculated total energy: -5.07 eV per atom
- E_form (uncorrected): -1069.2 meV/atom

```
data_Ba3CuB2S6
_space_group_name_H-M_alt 'P -3 m 1'
_space_group_IT_number 164
_space_group_name_Hall '-P 3 2"'
_cell_length_a 6.6276
_cell_length_b 6.6276
_cell_length_c 8.3146
_cell_angle_alpha 90.00
_cell_angle_beta 90.00
_cell_angle_gamma 120.00
loop_
_atom_site_label
_atom_site_type_symbol
_atom_site_fract_x
_atom_site_fract_y
_atom_site_fract_z
Ba1 Ba 0.0000 0.0000 0.0000
Ba2 Ba 0.3333 0.6667 0.6364
Cu1 Cu 0.0000 0.0000 0.5000
B1 B 0.3333 0.6667 0.2723
S1 S 0.1741 0.3482 0.2903
```